Record 1
# Sm3HoAl3 | the Alexandria database | GGA-PBE | relaxed
data_Sm3HoAl3
_chemical_formula_sum 'Sm6 Ho2 Al6'
_cell_length_a 7.3621
_cell_length_b 7.3621
_cell_length_c 6.9796
_cell_angle_alpha 90.00
_cell_angle_beta 90.00
_cell_angle_gamma 88.70
_symmetry_space_group_name_H-M 'P 1'
_symmetry_Int_Tables_number 1
loop_
_symmetry_equiv_pos_as_xyz
'x,y,z'
loop_
_atom_site_label
_atom_site_fract_x
_atom_site_fract_y
_atom_site_fract_z
Al1 0.5000 0.0000 0.2400
Al2 0.0000 0.5000 0.7600
Al3 0.0000 0.5000 0.2400
Sm1 0.7457 0.7457 0.5000
Sm2 0.2703 0.7297 0.0000
Sm3 0.7297 0.2703 0.0000
Al4 0.0000 0.0000 0.2324
Sm4 0.2516 0.7484 0.5000
Sm5 0.7484 0.2516 0.5000
Ho1 0.7510 0.7510 0.0000
Al5 0.5000 0.0000 0.7600
Ho2 0.2490 0.2490 0.0000
Sm6 0.2543 0.2543 0.5000
Al6 0.0000 0.0000 0.7676
# Calculated volume in Å³ per cell: 378
# E in eV per atom: -4.53
# Total moment in μB per formula unit: 0.00

=====

Record 2
# BaCeHg17 | the Alexandria database | GGA-PBE | relaxed
data_BaCeHg17
_chemical_formula_sum 'Ba1 Ce1 Hg17'
_cell_length_a 8.3085
_cell_length_b 8.3085
_cell_length_c 8.3085
_cell_angle_alpha 75.22
_cell_angle_beta 75.22
_cell_angle_gamma 75.22
_symmetry_space_group_name_H-M 'P 1'
_symmetry_Int_Tables_number 1
loop_
_symmetry_equiv_pos_as_xyz
'x,y,z'
loop_
_atom_site_label
_atom_site_fract_x
_atom_site_fract_y
_atom_site_fract_z
Hg1 0.6953 0.0054 0.3036
Ba1 0.6433 0.6433 0.6433
Hg2 0.3480 0.3480 0.9051
Hg3 0.2295 0.5883 0.5883
Hg4 0.1179 0.1179 0.1179
Ce1 0.3210 0.3210 0.3210
Hg5 0.6953 0.3036 0.0054
Hg6 0.3036 0.0054 0.6953
Hg7 0.3480 0.9051 0.3480
Hg8 0.9387 0.5782 0.9387
Hg9 0.5782 0.9387 0.9387
Hg10 0.0054 0.3036 0.6953
Hg11 0.0054 0.6953 0.3036
Hg12 0.9465 0.9465 0.9465
Hg13 0.9051 0.3480 0.3480
Hg14 0.5883 0.2295 0.5883
Hg15 0.3036 0.6953 0.0054
Hg16 0.5883 0.5883 0.2295
Hg17 0.9387 0.9387 0.5782
# Calculated volume in Å³ per cell: 525
# E in eV per atom: -0.83
# Total moment in μB per formula unit: 1.34

=====

Record 3
# HoTlAgI5 | the Alexandria database | GGA-PBE | relaxed
data_HoTlAgI5
_chemical_formula_sum 'Ho2 Tl2 Ag2 I10'
_cell_length_a 8.4220
_cell_length_b 8.4220
_cell_length_c 11.2911
_cell_angle_alpha 102.46
_cell_angle_beta 102.46
_cell_angle_gamma 108.80
_symmetry_space_group_name_H-M 'P 1'
_symmetry_Int_Tables_number 1
loop_
_symmetry_equiv_pos_as_xyz
'x,y,z'
loop_
_atom_site_label
_atom_site_fract_x
_atom_site_fract_y
_atom_site_fract_z
Tl1 0.6278 0.3722 0.7500
Tl2 0.3722 0.6278 0.2500
I1 0.7543 0.6218 0.4503
I2 0.2457 0.3782 0.5497
I3 0.9336 0.3220 0.1120
I4 0.3782 0.2457 0.0497
I5 0.6780 0.0664 0.3880
I6 0.0664 0.6780 0.8880
Ho1 0.0000 0.0000 0.0000
I7 0.0859 0.9141 0.2500
I8 0.3220 0.9336 0.6120
Ag1 0.6896 0.3104 0.2500
I9 0.6218 0.7543 0.9503
Ag2 0.3104 0.6896 0.7500
I10 0.9141 0.0859 0.7500
Ho2 0.0000 0.0000 0.5000
# E_form (uncorrected) in eV/f.u.: -7.13
# Calculated volume in Å³ per cell: 704
# E in eV per atom: -3.08
# Total moment in μB per formula unit: 0.00

=====

Record 4
# VCdTe3 | the Alexandria database | GGA-PBE | relaxed
data_VCdTe3
_chemical_formula_sum 'V1 Cd1 Te3'
_cell_length_a 5.2630
_cell_length_b 5.2630
_cell_length_c 5.2630
_cell_angle_alpha 90.00
_cell_angle_beta 90.00
_cell_angle_gamma 90.00
_symmetry_space_group_name_H-M 'P 1'
_symmetry_Int_Tables_number 1
loop_
_symmetry_equiv_pos_as_xyz
'x,y,z'
loop_
_atom_site_label
_atom_site_fract_x
_atom_site_fract_y
_atom_site_fract_z
Te1 0.5000 0.0000 0.0000
V1 0.0000 0.0000 0.0000
Te2 0.0000 0.5000 0.0000
Cd1 0.5000 0.5000 0.5000
Te3 0.0000 0.0000 0.5000
# E_form (uncorrected) in eV/f.u.: 0.87
# Energy above the most stable polymorph in this dataset in meV/atom: 0
# Calculated volume in Å³ per cell: 146
# E in eV per atom: -3.72
# Total moment in μB per formula unit: 0.46

=====

Record 5
# Sm2TmPuAs4 | the Alexandria database | GGA-PBE | relaxed
data_Sm2TmPuAs4
_chemical_formula_sum 'Sm2 Tm1 Pu1 As4'
_cell_length_a 4.1640
_cell_length_b 7.1846
_cell_length_c 7.1927
_cell_angle_alpha 109.45
_cell_angle_beta 90.00
_cell_angle_gamma 90.00
_symmetry_space_group_name_H-M 'P 1'
_symmetry_Int_Tables_number 1
loop_
_symmetry_equiv_pos_as_xyz
'x,y,z'
loop_
_atom_site_label
_atom_site_fract_x
_atom_site_fract_y
_atom_site_fract_z
As1 0.5000 0.7522 0.7587
Tm1 0.5000 0.5000 0.0000
Sm1 0.0000 0.5000 0.5000
As2 0.0000 0.2538 0.7591
Sm2 0.5000 0.0000 0.5000
As3 0.0000 0.7462 0.2409
Pu1 0.0000 0.0000 0.0000
As4 0.5000 0.2478 0.2413
# Calculated volume in Å³ per cell: 203
# E in eV per atom: -7.24
# Total moment in μB per formula unit: 4.93

=====

Record 6
# Ce3Si3Tc | the Alexandria database | GGA-PBE | relaxed
data_Ce3Si3Tc
_chemical_formula_sum 'Ce6 Si6 Tc2'
_cell_length_a 5.7794
_cell_length_b 8.4155
_cell_length_c 8.4221
_cell_angle_alpha 119.97
_cell_angle_beta 90.00
_cell_angle_gamma 90.00
_symmetry_space_group_name_H-M 'P 1'
_symmetry_Int_Tables_number 1
loop_
_symmetry_equiv_pos_as_xyz
'x,y,z'
loop_
_atom_site_label
_atom_site_fract_x
_atom_site_fract_y
_atom_site_fract_z
Si1 0.7500 0.6388 0.7222
Tc1 0.2500 0.6668 0.3333
Si2 0.2500 0.9164 0.6389
Ce1 0.2500 0.3117 0.9038
Si3 0.2500 0.7222 0.0832
Si4 0.2500 0.3612 0.2778
Tc2 0.7500 0.3332 0.6667
Si5 0.7500 0.0836 0.3611
Ce2 0.2500 0.5914 0.6880
Ce3 0.2500 0.0962 0.4083
Ce4 0.7500 0.4086 0.3120
Ce5 0.7500 0.6883 0.0962
Ce6 0.7500 0.9038 0.5917
Si6 0.7500 0.2778 0.9168
# E_form (uncorrected) in eV/f.u.: -1.64
# Energy above the most stable polymorph in this dataset in meV/atom: 401
# Calculated volume in Å³ per cell: 355
# E in eV per atom: -6.58
# Total moment in μB per formula unit: 0.84

=====

Record 7
# Cr6C3N | the Alexandria database | GGA-PBE | relaxed
data_Cr6C3N
_chemical_formula_sum 'Cr6 C3 N1'
_cell_length_a 4.8508
_cell_length_b 4.8508
_cell_length_c 6.9651
_cell_angle_alpha 90.00
_cell_angle_beta 90.00
_cell_angle_gamma 146.75
_symmetry_space_group_name_H-M 'P 1'
_symmetry_Int_Tables_number 1
loop_
_symmetry_equiv_pos_as_xyz
'x,y,z'
loop_
_atom_site_label
_atom_site_fract_x
_atom_site_fract_y
_atom_site_fract_z
C1 0.2454 0.7546 0.0000
C2 0.5025 0.4975 0.2595
Cr1 0.8643 0.1357 0.1697
Cr2 0.5962 0.4038 0.0000
Cr3 0.8643 0.1357 0.8303
C3 0.5025 0.4975 0.7405
Cr4 0.1479 0.8521 0.3130
Cr5 0.3871 0.6129 0.5000
Cr6 0.1479 0.8521 0.6870
N1 0.7418 0.2582 0.5000
# E_form (uncorrected) in eV/f.u.: -1.16
# Energy above the most stable polymorph in this dataset in meV/atom: 65
# Calculated volume in Å³ per cell: 90
# E in eV per atom: -9.49
# Total moment in μB per formula unit: 0.00

=====

Record 8
# PaCdInSn | the Alexandria database | GGA-PBE | relaxed
data_PaCdInSn
_chemical_formula_sum 'Pa1 Cd1 In1 Sn1'
_cell_length_a 4.4617
_cell_length_b 4.6040
_cell_length_c 4.8354
_cell_angle_alpha 90.00
_cell_angle_beta 90.00
_cell_angle_gamma 90.00
_symmetry_space_group_name_H-M 'P 1'
_symmetry_Int_Tables_number 1
loop_
_symmetry_equiv_pos_as_xyz
'x,y,z'
loop_
_atom_site_label
_atom_site_fract_x
_atom_site_fract_y
_atom_site_fract_z
In1 0.0000 0.5000 0.5000
Pa1 0.5000 0.5000 0.0000
Sn1 0.0000 0.0000 0.0000
Cd1 0.5000 0.0000 0.5000
# Calculated volume in Å³ per cell: 99
# E in eV per atom: -4.45
# Total moment in μB per formula unit: 0.69

=====

Record 9
# PmNd5Mg3 | the Alexandria database | GGA-PBE | relaxed
data_PmNd5Mg3
_chemical_formula_sum 'Pm2 Nd10 Mg6'
_cell_length_a 7.0895
_cell_length_b 9.6565
_cell_length_c 9.6561
_cell_angle_alpha 120.00
_cell_angle_beta 90.00
_cell_angle_gamma 90.00
_symmetry_space_group_name_H-M 'P 1'
_symmetry_Int_Tables_number 1
loop_
_symmetry_equiv_pos_as_xyz
'x,y,z'
loop_
_atom_site_label
_atom_site_fract_x
_atom_site_fract_y
_atom_site_fract_z
Nd1 0.2500 0.3333 0.3333
Mg1 0.2500 0.0000 0.3324
Nd2 0.7500 0.6667 0.6667
Nd3 0.7500 0.0000 0.3333
Pm1 0.5000 0.0000 0.0000
Nd4 0.0000 0.6667 0.3333
Mg2 0.7500 0.6676 0.0000
Mg3 0.2500 0.6676 0.6676
Mg4 0.7500 0.3324 0.3324
Pm2 0.0000 0.0000 0.0000
Mg5 0.2500 0.3324 0.0000
Nd5 0.2500 0.0000 0.6667
Nd6 0.0000 0.3333 0.6667
Nd7 0.5000 0.6667 0.3333
Nd8 0.7500 0.3333 0.0000
Nd9 0.5000 0.3333 0.6667
Nd10 0.2500 0.6667 0.0000
Mg6 0.7500 0.0000 0.6676
# Calculated volume in Å³ per cell: 572
# E in eV per atom: -3.71
# Total moment in μB per formula unit: 0.00

=====

Record 10
# K2Sb | the Alexandria database | GGA-PBE | relaxed
data_K2Sb
_chemical_formula_sum 'K2 Sb1'
_cell_length_a 4.0084
_cell_length_b 4.0084
_cell_length_c 9.6878
_cell_angle_alpha 90.00
_cell_angle_beta 90.00
_cell_angle_gamma 120.00
_symmetry_space_group_name_H-M 'P 1'
_symmetry_Int_Tables_number 1
loop_
_symmetry_equiv_pos_as_xyz
'x,y,z'
loop_
_atom_site_label
_atom_site_fract_x
_atom_site_fract_y
_atom_site_fract_z
Sb1 0.0000 0.0000 0.0000
K1 0.3333 0.6667 0.2743
K2 0.6667 0.3333 0.7257
# E_form (uncorrected) in eV/f.u.: -0.12
# Energy above the most stable polymorph in this dataset in meV/atom: 366
# Calculated volume in Å³ per cell: 135
# E in eV per atom: -2.15
# Total moment in μB per formula unit: 0.00

=====

Record 11
# TePd3Cl | the Alexandria database | GGA-PBE | relaxed
data_TePd3Cl
_chemical_formula_sum 'Te1 Pd3 Cl1'
_cell_length_a 5.0255
_cell_length_b 5.0255
_cell_length_c 5.0255
_cell_angle_alpha 90.00
_cell_angle_beta 90.00
_cell_angle_gamma 90.00
_symmetry_space_group_name_H-M 'P 1'
_symmetry_Int_Tables_number 1
loop_
_symmetry_equiv_pos_as_xyz
'x,y,z'
loop_
_atom_site_label
_atom_site_fract_x
_atom_site_fract_y
_atom_site_fract_z
Pd1 0.0000 0.0000 0.5000
Pd2 0.0000 0.5000 0.0000
Pd3 0.5000 0.0000 0.0000
Cl1 0.5000 0.5000 0.5000
Te1 0.0000 0.0000 0.0000
# E_form (uncorrected) in eV/f.u.: 1.86
# Energy above the most stable polymorph in this dataset in meV/atom: 30
# Calculated volume in Å³ per cell: 127
# E in eV per atom: -3.74
# Total moment in μB per formula unit: 0.00

=====

Q: total moment of number 1 (Sm3HoAl3)?
A: 0.00 μB per formula unit